The following is a DFT calculation (SCAN) of a PBEsol-optimized structure of ReIr2PtRh.

The structure in POSCAR format:
```
ReIr2PtRh
1.0
4.514 0.000 0.000
0.000 4.514 0.000
0.000 0.000 4.737
Re Ir Rh Pt
1 2 1 1
Cartesian
2.257 2.257 2.368
0.000 2.257 0.000
2.257 0.000 0.000
0.000 0.000 0.000
0.000 0.000 2.368
```

Calculated values
- final energy (eV per atom) = -60.97
- total magnetic moment (μB/f.u.) = 3.52